No. 1
Density functional theory data (PBE) for Ti2Co2Te after structural relaxation.

Properties
Calculated volume, Å³/cell: 150
E_tot, eV per atom: -6.89

a = 6.8477 Å, b = 6.8477 Å, c = 3.1940 Å
α = 90.00°, β = 90.00°, γ = 90.00°
Positions (direct):
Co  0.3720  0.8720  0.0000
Ti  0.1605  0.6605  0.5000
Co  0.8720  0.6280  0.0000
Te  0.5000  0.5000  0.0000
Ti  0.6605  0.8395  0.5000
Co  0.6280  0.1280  0.0000
Co  0.1280  0.3720  0.0000
Ti  0.3395  0.1605  0.5000
Te  0.0000  0.0000  0.0000
Ti  0.8395  0.3395  0.5000

=====

No. 2
Density functional theory data (PBE) for LaDyTh2S4 after structural relaxation.

Properties
Calculated volume, Å³/cell: 186
E_tot, eV per atom: -7.05

a = 4.0290 Å, b = 6.9353 Å, c = 7.0506 Å
α = 109.22°, β = 90.00°, γ = 90.00°
Positions (direct):
S  0.5000  0.7413  0.7522
Dy  0.5000  0.5000  0.0000
Th  0.5000  0.0000  0.5000
S  0.0000  0.2615  0.7582
La  0.0000  0.0000  0.0000
Th  0.0000  0.5000  0.5000
S  0.0000  0.7385  0.2418
S  0.5000  0.2587  0.2478

=====

No. 3
Density functional theory data (PBE) for BaSiW2 after structural relaxation.

Properties
Relative energy among the computed polymorphs, meV per atom: 470
Calculated volume, Å³/cell: 81

a = 2.9909 Å, b = 2.9909 Å, c = 9.2637 Å
α = 90.00°, β = 90.00°, γ = 102.91°
Positions (direct):
Ba  0.5000  0.5000  0.2500
W  0.0000  0.0000  0.5734
Si  0.5000  0.5000  0.7500
W  0.0000  0.0000  0.9266

=====

Number 1: mass density 7.57 g/cm3. Number 2: mass density 7.98 g/cm3. Number 3: mass density 10.96 g/cm3.